1.
First-principles (PBE-GGA) data for a relaxed structure of Ti2Be16Ga, as listed in Alexandria.

Computed properties:
Total DFT energy (no corrections) in eV for the cell shown: -245.6
ρ in g/cm3: 2.951
Formation enthalpy at 0 K in meV/atom: -180

Cell lengths 7.4458, 7.4458, 10.8875 Å; angles 90.00, 90.00, 120.00 degrees
Space group R3m (No. 160, hexagonal axes)
One atom of each set of equivalent atoms:
Ti 0.0000 0.0000 0.0000
Ti 0.0000 0.0000 0.3206
Be 0.0000 0.0000 0.7687
Be 0.0002 0.3035 0.6638
Be 0.0143 0.5072 0.8193
Be 0.1686 0.3372 0.8395
Be 0.1714 0.3429 0.4963
Ga 0.0000 0.0000 0.5637

=====

2.
First-principles (PBE-GGA) data for a relaxed structure of TiBe2Ga, as listed in Alexandria.

Computed properties:
Total DFT energy (no corrections) in eV for the cell shown: -67.4
ρ in g/cm3: 3.856
Formation enthalpy at 0 K in meV/atom: 380

Cell lengths 3.905, 3.905, 15.319 Å; angles 90.00, 90.00, 90.00 degrees
Space group I-42d (No. 122)
One atom of each set of equivalent atoms:
Ti 0.000 0.000 0.000
Be 0.040 0.250 0.625
Ga 0.000 0.000 0.500

=====

3.
First-principles (PBE-GGA) data for a relaxed structure of Ti3BeGa2, as listed in Alexandria.

Computed properties:
Total DFT energy (no corrections) in eV for the cell shown: -137.4
ρ in g/cm3: 5.194
Formation enthalpy at 0 K in meV/atom: -149
Offset from the most stable computed form in meV/atom: 197.9

Cell lengths 11.253, 6.731, 4.931 Å; angles 90.00, 90.00, 90.00 degrees
Space group Cmcm (No. 63)
One atom of each set of equivalent atoms:
Ti 0.000 0.193 0.250
Ti 0.202 0.500 0.000
Be 0.000 0.446 0.750
Ga 0.114 0.167 0.750

=====

4.
First-principles (PBE-GGA) data for a relaxed structure of Ti2BeGa, as listed in Alexandria.

Computed properties:
Total DFT energy (no corrections) in eV for the cell shown: -47.3
ρ in g/cm3: 4.954
Formation enthalpy at 0 K in meV/atom: -276
Offset from the most stable computed form in meV/atom: 0.0

Cell lengths 3.788, 3.060, 10.090 Å; angles 90.00, 90.00, 90.00 degrees
Space group Amm2 (No. 38)
One atom of each set of equivalent atoms:
Ti 0.000 0.000 0.000
Ti 0.500 0.000 0.338
Be 0.000 0.000 0.743
Ga 0.500 0.000 0.610

=====

Question: The highest formation enthalpy at 0 K belongs to which entry?
Answer: TiBe2Ga

=====

Question: Which of these has the lowest formation enthalpy at 0 K?
Answer: Ti2BeGa

=====

Question: The highest formation enthalpy at 0 K belongs to which entry?
Answer: TiBe2Ga

=====

Question: Which of these has the lowest total DFT energy (no corrections)?
Answer: Ti2Be16Ga